Entry 1:
AgSeF after structural relaxation. Source: Alexandria, functional PBE-GGA.

Summary:
Crystal system: monoclinic
Energy relative to the elements, uncorrected in kJ/mol of formula units: -163

Unit cell a=4.6862 b=4.6892 c=6.8062 alpha=110.17 beta=110.08 gamma=89.98
Atoms (fractional coordinates):
Ag 0.4936 0.2459 0.8372
Ag 0.9931 0.7461 0.8368
Se 0.3786 0.6311 0.6070
Se 0.6040 0.8568 0.0596
F 0.9344 0.1866 0.7182
F 0.2181 0.4711 0.2835

Entry 2:
Ag2SeF6 after structural relaxation. Source: Alexandria, functional PBE-GGA.

Summary:
Crystal system: tetragonal
Relative energy among the computed polymorphs in meV/atom: 0.0
Energy relative to the elements, uncorrected in kJ/mol of formula units: -1219

Unit cell a=5.3547 b=5.3547 c=10.5744 alpha=90.00 beta=90.00 gamma=90.00
Atoms (fractional coordinates):
Ag 0.5000 0.5000 0.3400
Ag 0.5000 0.5000 0.6600
Ag 0.0000 0.0000 0.1600
Ag 0.0000 0.0000 0.8400
Se 0.5000 0.5000 0.0000
Se 0.0000 0.0000 0.5000
F 0.6776 0.6776 0.1368
F 0.6776 0.6776 0.8632
F 0.7406 0.7406 0.5000
F 0.7594 0.2406 0.0000
F 0.8224 0.1776 0.3632
F 0.8224 0.1776 0.6368
F 0.1776 0.8224 0.3632
F 0.1776 0.8224 0.6368
F 0.2406 0.7594 0.0000
F 0.2594 0.2594 0.5000
F 0.3224 0.3224 0.1368
F 0.3224 0.3224 0.8632